Arrangement P

A plane-wave DFT calculation with PBE-GGA was carried out for a relaxed Y12Ho6Tm crystal.

Properties
Its volume is 33.49 Å³ per atom. The value obtained for the density of states at the Fermi level is 1.75 states/eV per atom. Its magnetic moment is 0.00 μB/cell.

```
Y12Ho6Tm
1.0
7.314 4.223 3.434
-7.314 4.223 3.434
0.000 -8.445 3.434
Y Ho Tm
12 6 1
Cartesian
-5.049 1.668 4.263
-3.969 -3.539 6.040
-2.838 -0.838 4.303
1.080 -5.207 4.263
-0.693 -2.877 6.000
2.145 -2.039 4.303
-2.145 2.039 6.000
0.693 2.877 4.303
-1.080 5.207 6.040
2.838 0.838 6.000
3.969 3.539 4.263
5.049 -1.668 6.040
-0.783 -2.688 2.452
-1.936 2.022 2.452
2.719 0.666 2.452
-2.719 -0.666 7.852
1.936 -2.022 7.852
0.783 2.688 7.852
0.000 0.000 0.000
```

Arrangement Q

A plane-wave DFT calculation with PBE-GGA was carried out for a relaxed Y12Ho6Tm crystal.

Properties
Its volume is 32.61 Å³ per atom. The value obtained for the density of states at the Fermi level is 1.82 states/eV per atom. Its magnetic moment is 0.04 μB/cell.

```
Y12Ho6Tm
1.0
5.922 3.419 5.100
-5.922 3.419 5.100
0.000 -6.838 5.100
Y Ho Tm
12 6 1
Cartesian
-1.119 -1.732 2.910
-0.940 1.835 2.910
-1.392 -1.528 6.345
2.060 -0.103 2.910
-2.019 0.441 8.954
-0.628 1.969 6.345
0.628 -1.969 8.954
2.019 -0.441 6.345
-2.060 0.103 12.390
1.392 1.528 8.954
0.940 -1.835 12.390
1.119 1.732 12.390
-3.565 0.945 5.323
0.964 -3.560 5.323
-2.601 -2.615 9.976
2.601 2.615 5.323
-0.964 3.560 9.976
3.565 -0.945 9.976
0.000 0.000 0.000
```

The most stable arrangement is arrangement Q, and the next structure is 108 meV per atom less stable.

Arrangement P

A plane-wave DFT calculation with PBE-GGA was carried out for a relaxed Y2Ho8Tm crystal.

Properties
Its volume is 31.88 Å³ per atom. The value obtained for the density of states at the Fermi level is 1.32 states/eV per atom. Its magnetic moment is 0.00 μB/cell.

```
Y2Ho8Tm
1.0
4.513 -8.217 0.000
4.513 8.217 0.000
-3.480 0.000 4.728
Y Ho Tm
2 8 1
Cartesian
4.513 5.089 0.000
4.513 -5.089 0.000
-0.498 0.000 1.363
-0.272 2.008 3.801
2.773 3.335 2.364
-0.272 -2.008 3.801
5.818 2.008 0.927
2.773 -3.335 2.364
5.818 -2.008 0.927
6.045 0.000 3.365
2.773 0.000 2.364
```

Arrangement Q

A plane-wave DFT calculation with PBE-GGA was carried out for a relaxed Y2Ho8Tm crystal.

Properties
Its volume is 31.93 Å³ per atom. The value obtained for the density of states at the Fermi level is 1.61 states/eV per atom. Its magnetic moment is 0.00 μB/cell.

```
Y2Ho8Tm
1.0
8.212 -3.297 0.000
8.212 3.297 0.000
-1.200 0.000 6.485
Y Ho Tm
2 8 1
Cartesian
2.916 0.000 1.977
12.308 0.000 4.508
6.658 1.572 0.642
3.043 0.000 5.301
8.566 1.572 5.844
6.039 0.000 3.866
9.184 0.000 2.619
6.658 -1.572 0.642
12.180 0.000 1.184
8.566 -1.572 5.844
-0.600 0.000 3.243
```

The most stable arrangement is arrangement P, and the next structure is 12 meV per atom less stable.

Arrangement P

A plane-wave DFT calculation with PBE-GGA was carried out for a relaxed Y2HoTm5 crystal.

Properties
Its volume is 31.03 Å³ per atom. The value obtained for the density of states at the Fermi level is 1.75 states/eV per atom. Its magnetic moment is 0.00 μB/cell.

```
Y2HoTm5
1.0
6.212 0.000 0.000
0.001 6.624 0.000
0.001 1.143 12.068
Y Ho Tm
4 2 10
Cartesian
1.028 1.757 5.265
2.077 5.061 5.261
4.136 2.706 6.807
5.185 6.010 6.804
2.070 6.980 8.336
4.143 0.786 3.732
1.029 5.624 11.325
1.032 6.427 2.231
1.036 3.673 8.342
2.077 2.311 11.321
2.075 3.117 2.227
4.138 4.650 9.842
4.136 5.455 0.747
5.177 4.094 3.727
5.181 1.339 9.838
5.184 2.143 0.744
```

Arrangement Q

A plane-wave DFT calculation with PBE-GGA was carried out for a relaxed Y2HoTm5 crystal.

Properties
Its volume is 30.62 Å³ per atom. The value obtained for the density of states at the Fermi level is 1.52 states/eV per atom. Its magnetic moment is 0.00 μB/cell.

```
Y2HoTm5
1.0
-3.512 3.512 4.966
3.512 -3.512 4.966
3.512 3.512 -4.966
Y Ho Tm
2 1 5
Cartesian
3.512 0.000 0.000
0.000 3.512 0.000
0.000 0.000 9.929
1.757 1.757 -2.484
1.755 -1.755 2.482
-1.755 1.755 2.482
0.000 0.000 4.968
1.755 1.755 2.482
```

The most stable arrangement is arrangement P, and the next structure is 30 meV per atom less stable.

Arrangement P

A plane-wave DFT calculation with PBE-GGA was carried out for a relaxed Y5HoTm4 crystal.

Properties
Its volume is 32.29 Å³ per atom. The value obtained for the density of states at the Fermi level is 1.46 states/eV per atom. Its magnetic moment is 0.00 μB/cell.

```
Y5HoTm4
1.0
-5.069 5.069 3.141
5.069 -5.069 3.141
5.069 5.069 -3.141
Y Ho Tm
5 1 4
Cartesian
0.000 0.000 0.000
3.597 2.691 1.413
2.378 -1.472 4.554
2.691 6.541 1.413
1.472 2.378 4.554
0.000 0.000 2.871
3.537 -0.505 1.422
6.602 0.505 1.422
0.505 3.537 1.422
-0.505 6.602 1.422
```

Arrangement Q

A plane-wave DFT calculation with PBE-GGA was carried out for a relaxed Y5HoTm4 crystal.

Properties
Its volume is 31.42 Å³ per atom. The value obtained for the density of states at the Fermi level is 1.87 states/eV per atom. Its magnetic moment is 0.00 μB/cell.

```
Y5HoTm4
1.0
5.406 0.000 0.000
0.004 7.006 0.000
2.689 0.003 8.295
Y Ho Tm
5 1 4
Cartesian
0.000 0.000 0.000
2.692 1.758 5.145
2.700 5.235 1.839
5.397 5.239 6.798
5.400 6.998 3.655
2.699 1.755 1.817
5.409 3.488 0.003
2.693 5.236 5.138
5.395 1.761 6.822
5.397 3.501 3.653
```

The most stable arrangement is arrangement Q, and the next structure is 263 meV per atom less stable.

Arrangement P

A plane-wave DFT calculation with PBE-GGA was carried out for a relaxed Y2HoTm9 crystal.

Properties
Its volume is 30.65 Å³ per atom. The value obtained for the density of states at the Fermi level is 1.72 states/eV per atom. Its magnetic moment is 0.00 μB/cell.

```
Y2HoTm9
1.0
11.085 0.000 0.000
-5.543 9.600 0.000
0.000 0.000 3.456
Y Ho Tm
2 1 9
Cartesian
0.000 6.400 0.000
5.543 3.200 0.000
0.000 0.000 0.000
-2.771 4.800 0.000
0.000 3.377 1.728
-2.618 7.912 1.728
2.925 1.689 1.728
5.543 0.000 0.000
2.771 4.800 0.000
2.618 7.912 1.728
8.160 1.689 1.728
5.543 6.223 1.728
```

Arrangement Q

A plane-wave DFT calculation with PBE-GGA was carried out for a relaxed Y2HoTm9 crystal.

Properties
Its volume is 30.46 Å³ per atom. The value obtained for the density of states at the Fermi level is 1.49 states/eV per atom. Its magnetic moment is 0.00 μB/cell.

```
Y2HoTm9
1.0
4.957 0.000 0.000
0.000 4.957 0.000
0.000 0.000 14.877
Y Ho Tm
2 1 9
Cartesian
0.000 0.000 2.484
0.000 0.000 12.392
0.000 0.000 7.438
0.000 2.478 0.000
0.000 2.478 4.975
0.000 2.478 9.902
2.478 0.000 0.000
2.478 0.000 4.975
2.478 0.000 9.902
2.478 2.478 2.487
2.478 2.478 7.438
2.478 2.478 12.389
```

The most stable arrangement is arrangement Q, and the next structure is 38 meV per atom less stable.

Arrangement P

A plane-wave DFT calculation with PBE-GGA was carried out for a relaxed Y2Ho9Tm crystal.

Properties
Its volume is 31.21 Å³ per atom. The value obtained for the density of states at the Fermi level is 1.76 states/eV per atom. Its magnetic moment is 0.00 μB/cell.

```
Y2Ho9Tm
1.0
11.160 0.000 0.000
-5.580 9.665 0.000
0.000 0.000 3.472
Y Ho Tm
2 9 1
Cartesian
0.000 6.443 0.000
5.580 3.222 0.000
-2.790 4.833 0.000
0.000 3.381 1.736
-2.652 7.974 1.736
2.928 1.691 1.736
5.580 0.000 0.000
2.790 4.833 0.000
2.652 7.974 1.736
8.232 1.691 1.736
5.580 6.284 1.736
0.000 0.000 0.000
```

Arrangement Q

A plane-wave DFT calculation with PBE-GGA was carried out for a relaxed Y2Ho9Tm crystal.

Properties
Its volume is 31.12 Å³ per atom. The value obtained for the density of states at the Fermi level is 1.50 states/eV per atom. Its magnetic moment is 0.00 μB/cell.

```
Y2Ho9Tm
1.0
4.993 0.000 0.000
0.000 4.993 0.000
0.000 0.000 14.979
Y Ho Tm
2 9 1
Cartesian
0.000 0.000 2.506
0.000 0.000 12.472
0.000 2.496 0.000
0.000 2.496 5.016
0.000 2.496 9.963
2.496 0.000 0.000
2.496 0.000 5.016
2.496 0.000 9.963
2.496 2.496 2.510
2.496 2.496 7.489
2.496 2.496 12.469
0.000 0.000 7.489
```

The most stable arrangement is arrangement Q, and the next structure is 42 meV per atom less stable.

Arrangement P

A plane-wave DFT calculation with PBE-GGA was carried out for a relaxed YHo5Tm3 crystal.

Properties
Its volume is 30.91 Å³ per atom. The value obtained for the density of states at the Fermi level is 1.49 states/eV per atom. Its magnetic moment is 0.00 μB/cell.

```
YHo5Tm3
1.0
9.609 0.000 0.000
-4.804 8.322 0.000
0.000 0.000 6.958
Y Ho Tm
2 10 6
Cartesian
0.000 0.000 0.000
0.000 0.000 3.479
-1.494 2.588 1.740
-3.311 5.734 5.219
2.988 0.000 1.740
1.494 2.588 5.219
0.000 5.548 0.000
0.000 5.548 3.479
4.805 2.774 0.000
4.805 2.774 3.479
6.621 0.000 5.219
3.311 5.734 1.740
-1.708 2.959 5.219
-3.096 5.363 1.740
3.416 0.000 5.219
1.708 2.959 1.740
6.193 0.000 1.740
3.096 5.363 5.219
```

Arrangement Q

A plane-wave DFT calculation with PBE-GGA was carried out for a relaxed YHo5Tm3 crystal.

Properties
Its volume is 31.72 Å³ per atom. The value obtained for the density of states at the Fermi level is 1.60 states/eV per atom. Its magnetic moment is 0.00 μB/cell.

```
YHo5Tm3
1.0
8.086 -4.376 0.000
8.086 4.376 0.000
-7.365 0.000 8.069
Y Ho Tm
2 10 6
Cartesian
2.562 2.903 6.052
6.245 -2.903 2.017
3.715 3.326 3.066
-1.029 2.508 6.745
8.774 3.326 0.968
6.245 1.996 2.017
6.154 2.508 5.358
2.653 -2.508 2.711
2.562 -1.996 6.052
0.033 -3.326 7.101
9.836 -2.508 1.324
5.092 -3.326 5.003
0.660 0.343 4.318
4.342 -0.343 0.284
8.086 0.000 0.000
4.404 0.000 4.034
4.465 0.343 7.785
8.147 -0.343 3.750
```

The most stable arrangement is arrangement P, and the next structure is 173 meV per atom less stable.

Arrangement P

A plane-wave DFT calculation with PBE-GGA was carried out for a relaxed Ho3TmZn crystal.

Properties
Its volume is 28.43 Å³ per atom. The value obtained for the density of states at the Fermi level is 1.03 states/eV per atom. Its magnetic moment is 0.00 μB/cell.

```
Ho3TmZn
1.0
5.495 -3.611 0.000
5.495 3.611 0.000
-2.774 0.000 7.165
Ho Tm Zn
6 2 2
Cartesian
-0.024 0.000 1.680
2.731 1.802 2.522
5.485 1.802 4.643
2.731 -1.802 2.522
5.485 -1.802 4.643
8.240 0.000 5.484
2.735 0.000 5.476
5.481 0.000 1.689
0.000 0.000 7.164
8.215 0.000 0.001
```

Arrangement Q

A plane-wave DFT calculation with PBE-GGA was carried out for a relaxed Ho3TmZn crystal.

Properties
Its volume is 27.52 Å³ per atom. The value obtained for the density of states at the Fermi level is 0.97 states/eV per atom. Its magnetic moment is 0.00 μB/cell.

```
Ho3TmZn
1.0
14.432 -1.790 0.000
14.432 1.790 0.000
-0.003 0.000 5.326
Ho Tm Zn
6 2 2
Cartesian
1.323 0.000 1.327
3.598 0.000 3.993
9.833 0.000 3.995
19.028 0.000 1.331
25.264 0.000 1.333
27.539 0.000 3.999
7.735 0.000 1.332
21.126 0.000 3.995
13.280 0.000 1.340
15.582 0.000 3.986
```

The most stable arrangement is arrangement Q, and the next structure is 104 meV per atom less stable.

Arrangement P

A plane-wave DFT calculation with PBE-GGA was carried out for a relaxed Ho4TmZn crystal.

Properties
Its volume is 28.51 Å³ per atom. The value obtained for the density of states at the Fermi level is 1.36 states/eV per atom. Its magnetic moment is 0.00 μB/cell.

```
Ho4TmZn
1.0
4.353 -6.723 0.000
4.353 6.723 0.000
-1.963 0.000 5.845
Ho Tm Zn
8 2 2
Cartesian
1.589 4.256 5.568
1.191 1.532 3.647
4.171 4.256 3.200
2.173 -1.532 0.724
4.569 1.532 5.121
2.571 -4.256 2.645
5.550 -1.532 2.198
5.153 -4.256 0.277
3.862 1.272 1.461
2.880 -1.272 4.384
3.862 -6.721 1.461
2.880 6.721 4.384
```

Arrangement Q

A plane-wave DFT calculation with PBE-GGA was carried out for a relaxed Ho4TmZn crystal.

Properties
Its volume is 28.06 Å³ per atom. The value obtained for the density of states at the Fermi level is 1.24 states/eV per atom. Its magnetic moment is 0.00 μB/cell.

```
Ho4TmZn
1.0
3.522 0.000 0.000
0.000 3.522 0.000
0.000 0.000 13.572
Ho Tm Zn
4 1 1
Cartesian
0.000 0.000 1.784
0.000 0.000 11.788
1.761 1.761 4.321
1.761 1.761 9.251
0.000 0.000 6.786
1.761 1.761 0.000
```

The most stable arrangement is arrangement Q, and the next structure is 104 meV per atom less stable.

Arrangement P

A plane-wave DFT calculation with PBE-GGA was carried out for a relaxed Ho2Tm3Zn2 crystal.

Properties
Its volume is 25.47 Å³ per atom. The value obtained for the density of states at the Fermi level is 1.06 states/eV per atom. Its magnetic moment is 0.00 μB/cell.

```
Ho2Tm3Zn2
1.0
4.500 -2.593 0.000
4.500 2.593 0.000
-2.996 0.000 7.642
Ho Tm Zn
2 3 2
Cartesian
0.002 0.000 1.844
6.002 0.000 5.798
3.002 0.000 0.234
3.002 0.000 3.821
3.002 0.000 7.408
0.001 0.000 4.914
6.003 0.000 2.728
```

Arrangement Q

A plane-wave DFT calculation with PBE-GGA was carried out for a relaxed Ho2Tm3Zn2 crystal.

Properties
Its volume is 26.16 Å³ per atom. The value obtained for the density of states at the Fermi level is 1.38 states/eV per atom. Its magnetic moment is 0.00 μB/cell.

```
Ho2Tm3Zn2
1.0
1.730 -15.462 0.000
1.730 15.462 0.000
0.000 0.000 3.422
Ho Tm Zn
2 3 2
Cartesian
1.730 9.239 0.000
1.730 -9.239 0.000
1.730 3.674 1.711
1.730 0.000 1.711
1.730 -3.674 1.711
1.730 13.672 0.000
1.730 -13.672 0.000
```

The most stable arrangement is arrangement P, and the next structure is 19 meV per atom less stable.